No. 1
The following is a DFT calculation (PBE) of a relaxed YAgP3 crystal.

Cell: 4.793 4.793 4.793 Å, 90.00 90.00 90.00°
Space group Pm-3m (No. 221)
Asymmetric unit:
Y1 0.000 0.000 0.000 (multiplicity 1)
Ag1 0.500 0.500 0.500 (multiplicity 1)
P1 0.000 0.500 0.500 (multiplicity 3)

Computed properties:
Calculated total energy   -4.742 eV/atom
E above lowest polymorph   0.000 eV/atom

No. 2
The following is a DFT calculation (PBE) of a relaxed TcGeOs crystal.

Cell: 4.2539 4.2539 2.8053 Å, 90.00 90.00 120.00°
Space group P-6m2 (No. 187)
Asymmetric unit:
Tc1 0.0000 0.0000 0.0000 (multiplicity 1)
Ge1 0.3333 0.6667 0.5000 (multiplicity 1)
Os1 0.6667 0.3333 0.5000 (multiplicity 1)

Computed properties:
Calculated total energy   -8.650 eV/atom
E above lowest polymorph   0.012 eV/atom

No. 3
The following is a DFT calculation (PBE) of a relaxed VBTe2Se crystal.

Cell: 4.792 4.792 4.426 Å, 90.00 90.00 90.00°
Space group P4/mmm (No. 123)
Asymmetric unit:
V1 0.000 0.000 0.000 (multiplicity 1)
B1 0.500 0.500 0.500 (multiplicity 1)
Te1 0.000 0.500 0.500 (multiplicity 2)
Se1 0.500 0.500 0.000 (multiplicity 1)

Computed properties:
Calculated total energy   -4.160 eV/atom
E_form (uncorrected)   0.95 eV/atom

No. 4
The following is a DFT calculation (PBE) of a relaxed ThAlGaPd crystal.

Cell: 4.2897 4.2897 15.7653 Å, 90.00 90.00 120.00°
Space group R3m (No. 160, hexagonal axes)
Asymmetric unit:
Th1 0.0000 0.0000 0.0000 (multiplicity 3)
Al1 0.0000 0.0000 0.2079 (multiplicity 3)
Ga1 0.0000 0.0000 0.7869 (multiplicity 3)
Pd1 0.0000 0.0000 0.5029 (multiplicity 3)

Computed properties:
Calculated total energy   -5.507 eV/atom

No. 5
The following is a DFT calculation (PBE) of a relaxed Mn2Sn2P crystal.

Cell: 3.304 3.304 15.758 Å, 90.00 90.00 90.00°
Space group I4/mmm (No. 139)
Asymmetric unit:
Mn1 0.000 0.500 0.250 (multiplicity 4)
Sn1 0.000 0.000 0.109 (multiplicity 4)
P1 0.000 0.000 0.500 (multiplicity 2)

Computed properties:
Calculated total energy   -5.810 eV/atom
E above lowest polymorph   0.104 eV/atom

No. 6
The following is a DFT calculation (PBE) of a relaxed K5CeS4 crystal.

Cell: 19.001 4.468 8.533 Å, 90.00 99.94 90.00°
Space group C2/m (No. 12)
Asymmetric unit:
K1 0.000 0.000 0.000 (multiplicity 2)
K2 0.150 0.500 0.828 (multiplicity 4)
K3 0.177 0.500 0.372 (multiplicity 4)
Ce1 0.000 0.000 0.500 (multiplicity 2)
S1 0.012 0.500 0.281 (multiplicity 4)
S2 0.149 0.000 0.598 (multiplicity 4)

Computed properties:
Calculated total energy   -4.039 eV/atom
E_form (uncorrected)   -1.25 eV/atom

No. 7
The following is a DFT calculation (PBE) of a relaxed SrCa2PmTe4 crystal.

Cell: 7.880 4.532 7.912 Å, 90.00 109.28 90.00°
Space group P2/m (No. 10)
Asymmetric unit:
Sr1 0.000 0.000 0.000 (multiplicity 1)
Ca1 0.500 0.000 0.500 (multiplicity 1)
Ca2 0.500 0.500 0.000 (multiplicity 1)
Pm1 0.000 0.500 0.500 (multiplicity 1)
Te1 0.254 0.000 0.746 (multiplicity 2)
Te2 0.258 0.500 0.260 (multiplicity 2)

Computed properties:
Calculated total energy   -4.460 eV/atom
E_form (uncorrected)   -1.59 eV/atom

No. 8
The following is a DFT calculation (PBE) of a relaxed YTm3Co8 crystal.

Cell: 5.0362 5.0362 24.6929 Å, 90.00 90.00 120.00°
Space group R3m (No. 160, hexagonal axes)
Asymmetric unit:
Y1 0.0000 0.0000 0.0000 (multiplicity 3)
Tm1 0.0000 0.0000 0.1253 (multiplicity 3)
Tm2 0.0000 0.0000 0.5000 (multiplicity 3)
Tm3 0.0000 0.0000 0.6247 (multiplicity 3)
Co1 0.0000 0.0000 0.3123 (multiplicity 3)
Co2 0.0000 0.0000 0.8125 (multiplicity 3)
Co3 0.0009 0.5004 0.0632 (multiplicity 9)
Co4 0.1676 0.3351 0.8952 (multiplicity 9)

Computed properties:
Calculated total energy   -6.636 eV/atom

No. 9
The following is a DFT calculation (PBE) of a relaxed TeIN2Cl crystal.

Cell: 4.358 4.358 8.220 Å, 90.00 90.00 90.00°
Space group P4/mmm (No. 123)
Asymmetric unit:
Te1 0.000 0.000 0.000 (multiplicity 1)
I1 0.500 0.500 0.000 (multiplicity 1)
N1 0.000 0.500 0.500 (multiplicity 2)
Cl1 0.500 0.500 0.500 (multiplicity 1)

Computed properties:
Calculated total energy   -2.583 eV/atom
E above lowest polymorph   0.702 eV/atom
E_form (uncorrected)   2.06 eV/atom

No. 10
The following is a DFT calculation (PBE) of a relaxed AcTb2YSe4 crystal.

Cell: 7.237 4.121 7.377 Å, 90.00 108.61 90.00°
Space group P2/m (No. 10)
Asymmetric unit:
Ac1 0.000 0.000 0.000 (multiplicity 1)
Tb1 0.500 0.000 0.500 (multiplicity 1)
Tb2 0.500 0.500 0.000 (multiplicity 1)
Y1 0.000 0.500 0.500 (multiplicity 1)
Se1 0.258 0.000 0.741 (multiplicity 2)
Se2 0.267 0.500 0.268 (multiplicity 2)

Computed properties:
Calculated total energy   -5.984 eV/atom
E_form (uncorrected)   -1.76 eV/atom

No. 11
The following is a DFT calculation (PBE) of a relaxed KFe3 crystal.

Cell: 4.678 4.678 6.024 Å, 90.00 90.00 90.00°
Space group I4/mmm (No. 139)
Asymmetric unit:
K1 0.000 0.000 0.000 (multiplicity 2)
Fe1 0.000 0.000 0.500 (multiplicity 2)
Fe2 0.000 0.500 0.250 (multiplicity 4)

Computed properties:
Calculated total energy   -5.276 eV/atom

No. 12
The following is a DFT calculation (PBE) of a relaxed Nd3Si6Pt20 crystal.

Cell: 12.460 12.460 12.460 Å, 90.00 90.00 90.00°
Space group Fm-3m (No. 225)
Asymmetric unit:
Nd1 0.000 0.000 0.000 (multiplicity 4)
Nd2 0.250 0.250 0.250 (multiplicity 8)
Si1 0.000 0.000 0.266 (multiplicity 24)
Pt1 0.000 0.173 0.173 (multiplicity 48)
Pt2 0.114 0.114 0.386 (multiplicity 32)

Computed properties:
Calculated total energy   -6.564 eV/atom
E_form (uncorrected)   -0.78 eV/atom